Record 1
Li2Sn2Bi PBE relaxed; space-group type = Cmmm (65); VASP energy = -17.0 eV per cell; formation enthalpy at 0 K = -0.25 eV per atom; polymorph energy (0 for the lowest one) = 0.0 kJ per mole of atoms; calculated density = 6.47 g cm⁻³
1.0
1.661 -10.871 0.000
1.661 10.871 0.000
0.000 0.000 3.270
Li Sn Bi
2 2 1
Direct
0.098 0.902 0.000
0.902 0.098 0.000
0.311 0.689 0.500
0.689 0.311 0.500
0.500 0.500 0.500



Record 2
LiSnBi PBE relaxed; space-group type = Cmcm (63); VASP energy = -20.6 eV per cell; formation enthalpy at 0 K = -0.17 eV per atom; polymorph energy (0 for the lowest one) = 3.6 kJ per mole of atoms; calculated density = 6.92 g cm⁻³
1.0
2.291 -7.143 0.000
2.291 7.143 0.000
0.000 0.000 4.904
Li Sn Bi
2 2 2
Direct
0.084 0.916 0.750
0.916 0.084 0.250
0.437 0.563 0.750
0.563 0.437 0.250
0.209 0.791 0.250
0.791 0.209 0.750



Record 3
Li4Sn5Bi PBE relaxed; space-group type = P4/mmm (123); VASP energy = -33.7 eV per cell; formation enthalpy at 0 K = -0.22 eV per atom; calculated density = 6.03 g cm⁻³
1.0
3.157 0.000 0.000
0.000 3.157 0.000
0.000 0.000 22.942
Li Sn Bi
4 5 1
Direct
0.000 0.000 0.095
0.000 0.000 0.281
0.000 0.000 0.719
0.000 0.000 0.905
0.500 0.500 0.000
0.500 0.500 0.191
0.500 0.500 0.374
0.500 0.500 0.626
0.500 0.500 0.809
0.000 0.000 0.500



Record 4
LiSn2Bi PBE relaxed; space-group type = R3m (160); VASP energy = -14.0 eV per cell; formation enthalpy at 0 K = -0.05 eV per atom; calculated density = 6.79 g cm⁻³
1.0
2.460 1.420 5.287
-2.460 1.420 5.287
0.000 -2.840 5.287
Li Sn Bi
1 2 1
Direct
0.000 0.000 0.000
0.371 0.371 0.371
0.585 0.585 0.585
0.808 0.808 0.808